Run one
## LiNiBiMo (GGA-PBE)

Data for a relaxed LiNiBiMo crystal.

The space group is F-43m (No. 216) and the conventional cell measures 6.3756, 6.3756 and 6.3756 Å, with angles of 90.00, 90.00 and 90.00 degrees. Symmetry generates all atoms from Li at (0.0000, 0.0000, 0.0000), Ni at (0.2500, 0.2500, 0.7500), Bi at (0.0000, 0.0000, 0.5000) and Mo at (0.2500, 0.2500, 0.2500).

The magnetization comes out at 0.82 μB/f.u. The calculated volume is 16.2 Å³/atom.


Run two
## LiNiBiMo (GGA-PBE)

Data for a relaxed LiNiBiMo crystal.

The space group is F-43m (No. 216) and the conventional cell measures 6.3963, 6.3963 and 6.3963 Å, with angles of 90.00, 90.00 and 90.00 degrees. Symmetry generates all atoms from Li at (0.0000, 0.0000, 0.0000), Ni at (0.0000, 0.0000, 0.5000), Bi at (0.2500, 0.2500, 0.2500) and Mo at (0.2500, 0.2500, 0.7500).

The magnetization comes out at 3.35 μB/f.u. The calculated volume is 16.4 Å³/atom.


Stability, highest: run two


Run one
## LiBiTeMo (GGA-PBE)

Data for a relaxed LiBiTeMo crystal.

The space group is F-43m (No. 216) and the conventional cell measures 7.0436, 7.0436 and 7.0436 Å, with angles of 90.00, 90.00 and 90.00 degrees. Symmetry generates all atoms from Li at (0.0000, 0.0000, 0.0000), Bi at (0.2500, 0.2500, 0.2500), Te at (0.0000, 0.0000, 0.5000) and Mo at (0.2500, 0.2500, 0.7500).

The magnetization comes out at 1.93 μB/f.u. The calculated volume is 21.8 Å³/atom.


Run two
## LiBiTeMo (GGA-PBE)

Data for a relaxed LiBiTeMo crystal.

The space group is F-43m (No. 216) and the conventional cell measures 6.9145, 6.9145 and 6.9145 Å, with angles of 90.00, 90.00 and 90.00 degrees. Symmetry generates all atoms from Li at (0.0000, 0.0000, 0.0000), Bi at (0.2500, 0.2500, 0.7500), Te at (0.2500, 0.2500, 0.2500) and Mo at (0.0000, 0.0000, 0.5000).

The magnetization comes out at 1.05 μB/f.u. The calculated volume is 20.7 Å³/atom.


Stability, highest: run two